Here is a relaxed Li3ZnSn6 crystal from Alexandria via LeMat-Bulk. Energies are from PBE-GGA.

Lattice parameters (Å, degrees): 7.2973 7.4140 8.6990 90.00 88.44 90.00
Element x y z (fractional)
Li 0.5666 0.7928 0.7380
Li 0.5000 0.5000 0.0000
Li 0.4334 0.2072 0.2620
Li 0.0666 0.7072 0.2380
Li 0.0000 0.0000 0.5000
Li 0.9334 0.2928 0.7620
Zn 0.5000 0.5000 0.5000
Zn 0.0000 0.0000 0.0000
Sn 0.6343 0.1436 0.9469
Sn 0.6408 0.1627 0.5644
Sn 0.7706 0.4219 0.2343
Sn 0.2294 0.5781 0.7657
Sn 0.3592 0.8373 0.4356
Sn 0.3657 0.8564 0.0531
Sn 0.1343 0.3564 0.4469
Sn 0.1408 0.3373 0.0644
Sn 0.2706 0.0781 0.7343
Sn 0.7294 0.9219 0.2657
Sn 0.8592 0.6627 0.9356
Sn 0.8657 0.6436 0.5531

Computed properties:
ρ: 5.64 g/cm³
space-group type: No. 14
raw total energy: -3.21 eV/atom
formation energy: -0.105 eV per atom

***

Here is a relaxed Li14ZnSn crystal from Alexandria via LeMat-Bulk. Energies are from PBE-GGA.

Lattice parameters (Å, degrees): 6.8739 6.8739 6.2393 90.00 90.00 90.00
Element x y z (fractional)
Li 0.8750 0.8750 0.0000
Li 0.3750 0.3750 0.0000
Li 0.8750 0.3750 0.5000
Li 0.8750 0.3750 0.0000
Li 0.3750 0.8750 0.5000
Li 0.3750 0.8750 0.0000
Li 0.6304 0.1196 0.2678
Li 0.6304 0.1196 0.7322
Li 0.1196 0.6304 0.2678
Li 0.1196 0.6304 0.7322
Li 0.6303 0.6303 0.2678
Li 0.6303 0.6303 0.7322
Li 0.1196 0.1196 0.2678
Li 0.1196 0.1196 0.7322
Zn 0.8750 0.8750 0.5000
Sn 0.3750 0.3750 0.5000

Computed properties:
ρ: 1.58 g/cm³
space-group type: No. 123
raw total energy: -2.11 eV/atom
formation energy: -0.108 eV per atom

***

Here is a relaxed Li2ZnSn2 crystal from Alexandria via LeMat-Bulk. Energies are from PBE-GGA.

Lattice parameters (Å, degrees): 4.0169 4.0169 7.2129 73.83 73.83 90.00
Element x y z (fractional)
Zn 0.0000 0.0000 0.0000
Sn 0.3971 0.3971 0.2057
Sn 0.6029 0.6029 0.7943
Li 0.7500 0.2500 0.5000
Li 0.2500 0.7500 0.5000

Computed properties:
ρ: 4.92 g/cm³
space-group type: No. 139
raw total energy: -2.63 eV/atom
formation energy: -0.009 eV per atom

***

Here is a relaxed Li4Zn3Sn2 crystal from Alexandria via LeMat-Bulk. Energies are from PBE-GGA.

Lattice parameters (Å, degrees): 4.2546 5.1174 8.5600 70.01 90.00 65.43
Element x y z (fractional)
Li 0.6518 0.6969 0.8804
Li 0.0238 0.9519 0.3423
Li 0.9762 0.0481 0.6577
Li 0.3482 0.3031 0.1196
Zn 0.3523 0.2958 0.4532
Zn 0.0000 0.0000 0.0000
Zn 0.6477 0.7042 0.5468
Sn 0.3095 0.3811 0.7650
Sn 0.6905 0.6189 0.2350

Computed properties:
ρ: 4.88 g/cm³
space-group type: No. 12
raw total energy: -2.42 eV/atom
formation energy: -0.253 eV per atom

***

Here is a relaxed LiZn2Sn2 crystal from Alexandria via LeMat-Bulk. Energies are from PBE-GGA.

Lattice parameters (Å, degrees): 7.9630 7.9630 3.4775 90.00 90.00 90.00
Element x y z (fractional)
Zn 0.1268 0.6268 0.5000
Zn 0.6268 0.8732 0.5000
Zn 0.8732 0.3732 0.5000
Zn 0.3732 0.1268 0.5000
Sn 0.3272 0.8272 0.0000
Sn 0.8272 0.6728 0.0000
Sn 0.6728 0.1728 0.0000
Sn 0.1728 0.3272 0.0000
Li 0.0000 0.0000 0.0000
Li 0.5000 0.5000 0.0000

Computed properties:
ρ: 5.65 g/cm³
space-group type: No. 127
offset from the most stable computed form: 0.33 eV per formula unit
raw total energy: -2.46 eV/atom
formation energy: 0.031 eV per atom

***

Here is a relaxed Li9Zn4Sn11 crystal from Alexandria via LeMat-Bulk. Energies are from PBE-GGA.

Lattice parameters (Å, degrees): 3.7992 11.9429 11.9429 110.78 90.00 90.00
Element x y z (fractional)
Li 0.5000 0.6220 0.1523
Li 0.5000 0.3780 0.8477
Li 0.5000 0.1523 0.6220
Li 0.5000 0.8477 0.3780
Li 0.5000 0.7963 0.9635
Li 0.5000 0.2037 0.0365
Li 0.5000 0.9635 0.7963
Li 0.5000 0.0365 0.2037
Li 0.5000 0.5000 0.5000
Zn 0.5000 0.5608 0.7487
Zn 0.5000 0.4392 0.2513
Zn 0.5000 0.7487 0.5608
Zn 0.5000 0.2513 0.4392
Sn 0.0000 0.5930 0.9369
Sn 0.0000 0.4070 0.0631
Sn 0.0000 0.9369 0.5930
Sn 0.0000 0.0631 0.4070
Sn 0.0000 0.6312 0.3688
Sn 0.0000 0.3688 0.6312
Sn 0.0000 0.8266 0.1734
Sn 0.0000 0.1734 0.8266
Sn 0.0000 0.0000 0.0000
Sn 0.0000 0.7454 0.7454
Sn 0.0000 0.2546 0.2546

Computed properties:
ρ: 5.34 g/cm³
space-group type: No. 65
raw total energy: -2.96 eV/atom
formation energy: -0.191 eV per atom

***

Q: formation energy of number 4 (Li4Zn3Sn2)?
A: -0.253 eV per atom